No. 1
Compound: Pu3ZnH
Source: Alexandria
Functional: GGA-PBE
Structure: relaxed

Structure (CIF):
```
data_Pu3ZnH
_chemical_formula_sum 'Pu3 Zn1 H1'
_space_group_name_H-M_alt 'P m -3 m'
_space_group_IT_number 221
_space_group_name_Hall '-P 4 2 3'
_cell_length_a 4.716
_cell_length_b 4.716
_cell_length_c 4.716
_cell_angle_alpha 90.00
_cell_angle_beta 90.00
_cell_angle_gamma 90.00
loop_
_atom_site_label
_atom_site_type_symbol
_atom_site_fract_x
_atom_site_fract_y
_atom_site_fract_z
Pu1 Pu 0.000 0.000 0.500
Zn1 Zn 0.500 0.500 0.500
H1 H 0.000 0.000 0.000
```

Summary:
mass density	12.64	g/cm³



No. 2
Compound: Sr5Mn2N6
Source: Alexandria
Functional: GGA-PBE
Structure: relaxed

Structure (CIF):
```
data_Sr5Mn2N6
_chemical_formula_sum 'Sr20 Mn8 N24'
_space_group_name_H-M_alt 'C 1 2/c 1'
_space_group_IT_number 15
_cell_length_a 10.293
_cell_length_b 6.588
_cell_length_c 13.446
_cell_angle_alpha 90.00
_cell_angle_beta 101.92
_cell_angle_gamma 90.00
loop_
_space_group_symop_operation_xyz
'x,y,z'
'-x,-y,-z'
'-x,y,-z+1/2'
'x,-y,z+1/2'
'x+1/2,y+1/2,z'
'-x+1/2,-y+1/2,-z'
'-x+1/2,y+1/2,-z+1/2'
'x+1/2,-y+1/2,z+1/2'
loop_
_atom_site_label
_atom_site_type_symbol
_atom_site_fract_x
_atom_site_fract_y
_atom_site_fract_z
Sr1 Sr 0.000 0.116 0.250
Sr2 Sr 0.068 0.238 0.997
Sr3 Sr 0.158 0.409 0.719
Mn1 Mn 0.226 0.366 0.430
N1 N 0.062 0.449 0.374
N2 N 0.152 0.046 0.640
N3 N 0.222 0.070 0.434
```

Summary:
mass density	4.71	g/cm³



No. 3
Compound: CsTl2ZnSb
Source: Alexandria
Functional: GGA-PBE
Structure: relaxed

Structure (CIF):
```
data_CsTl2ZnSb
_chemical_formula_sum 'Cs1 Tl2 Zn1 Sb1'
_space_group_name_H-M_alt 'P 4/m m m'
_space_group_IT_number 123
_space_group_name_Hall '-P 4 2'
_cell_length_a 5.722
_cell_length_b 5.722
_cell_length_c 5.520
_cell_angle_alpha 90.00
_cell_angle_beta 90.00
_cell_angle_gamma 90.00
loop_
_atom_site_label
_atom_site_type_symbol
_atom_site_fract_x
_atom_site_fract_y
_atom_site_fract_z
Cs1 Cs 0.000 0.000 0.000
Tl1 Tl 0.000 0.500 0.500
Zn1 Zn 0.500 0.500 0.500
Sb1 Sb 0.500 0.500 0.000
```

Summary:
mass density	6.70	g/cm³



No. 4
Compound: Tm4Tl5Hg
Source: Alexandria
Functional: GGA-PBE
Structure: relaxed

Structure (CIF):
```
data_Tm4Tl5Hg
_chemical_formula_sum 'Tm8 Tl10 Hg2'
_space_group_name_H-M_alt 'C 1 2/m 1'
_space_group_IT_number 12
_cell_length_a 17.284
_cell_length_b 4.984
_cell_length_c 6.448
_cell_angle_alpha 90.00
_cell_angle_beta 108.22
_cell_angle_gamma 90.00
loop_
_space_group_symop_operation_xyz
'x,y,z'
'-x,-y,-z'
'-x,y,-z'
'x,-y,z'
'x+1/2,y+1/2,z'
'-x+1/2,-y+1/2,-z'
'-x+1/2,y+1/2,-z'
'x+1/2,-y+1/2,z'
loop_
_atom_site_label
_atom_site_type_symbol
_atom_site_fract_x
_atom_site_fract_y
_atom_site_fract_z
Tm1 Tm 0.086 0.000 0.336
Tm2 Tm 0.197 0.500 0.117
Tl1 Tl 0.000 0.500 0.500
Tl2 Tl 0.107 0.000 0.848
Tl3 Tl 0.205 0.500 0.613
Hg1 Hg 0.000 0.500 0.000
```

Summary:
mass density	11.95	g/cm³
formation energy from the elements	-0.26	eV per atom



No. 5
Compound: Ca3Pr4Se8
Source: Alexandria
Functional: GGA-PBE
Structure: relaxed

Structure (CIF):
```
data_Ca3Pr4Se8
_chemical_formula_sum 'Ca6 Pr8 Se16'
_space_group_name_H-M_alt 'C 1 2/m 1'
_space_group_IT_number 12
_cell_length_a 11.964
_cell_length_b 11.986
_cell_length_c 8.475
_cell_angle_alpha 90.00
_cell_angle_beta 134.80
_cell_angle_gamma 90.00
loop_
_space_group_symop_operation_xyz
'x,y,z'
'-x,-y,-z'
'-x,y,-z'
'x,-y,z'
'x+1/2,y+1/2,z'
'-x+1/2,-y+1/2,-z'
'-x+1/2,y+1/2,-z'
'x+1/2,-y+1/2,z'
loop_
_atom_site_label
_atom_site_type_symbol
_atom_site_fract_x
_atom_site_fract_y
_atom_site_fract_z
Ca1 Ca 0.000 0.000 0.000
Ca2 Ca 0.250 0.250 0.000
Pr1 Pr 0.000 0.000 0.500
Pr2 Pr 0.000 0.500 0.000
Pr3 Pr 0.250 0.250 0.500
Se1 Se 0.000 0.248 0.000
Se2 Se 0.000 0.251 0.500
Se3 Se 0.248 0.000 0.997
Se4 Se 0.250 0.000 0.497
```

Summary:
mass density	5.07	g/cm³



No. 6
Compound: TbGa2Pd2Au
Source: Alexandria
Functional: GGA-PBE
Structure: relaxed

Structure (CIF):
```
data_TbGa2Pd2Au
_chemical_formula_sum 'Tb1 Ga2 Pd2 Au1'
_space_group_name_H-M_alt 'P 4/m m m'
_space_group_IT_number 123
_space_group_name_Hall '-P 4 2'
_cell_length_a 4.753
_cell_length_b 4.753
_cell_length_c 5.641
_cell_angle_alpha 90.00
_cell_angle_beta 90.00
_cell_angle_gamma 90.00
loop_
_atom_site_label
_atom_site_type_symbol
_atom_site_fract_x
_atom_site_fract_y
_atom_site_fract_z
Tb1 Tb 0.000 0.000 0.000
Ga1 Ga 0.000 0.500 0.500
Pd1 Pd 0.500 0.500 0.244
Au1 Au 0.000 0.000 0.500
```

Summary:
mass density	9.23	g/cm³
formation energy from the elements	-0.23	eV per atom



No. 7
Compound: BeCuSi2H
Source: Alexandria
Functional: GGA-PBE
Structure: relaxed

Structure (CIF):
```
data_BeCuSi2H
_chemical_formula_sum 'Be1 Cu1 Si2 H1'
_space_group_name_H-M_alt 'P 4/m m m'
_space_group_IT_number 123
_space_group_name_Hall '-P 4 2'
_cell_length_a 3.841
_cell_length_b 3.841
_cell_length_c 3.686
_cell_angle_alpha 90.00
_cell_angle_beta 90.00
_cell_angle_gamma 90.00
loop_
_atom_site_label
_atom_site_type_symbol
_atom_site_fract_x
_atom_site_fract_y
_atom_site_fract_z
Be1 Be 0.000 0.000 0.000
Cu1 Cu 0.500 0.500 0.000
Si1 Si 0.000 0.500 0.500
H1 H 0.500 0.500 0.500
```

Summary:
mass density	3.96	g/cm³



No. 8
Compound: LaTm2Te4
Source: Alexandria
Functional: GGA-PBE
Structure: relaxed

Structure (CIF):
```
data_LaTm2Te4
_chemical_formula_sum 'La4 Tm8 Te16'
_space_group_name_H-M_alt 'C m c m'
_space_group_IT_number 63
_space_group_name_Hall '-C 2c 2'
_cell_length_a 4.332
_cell_length_b 14.230
_cell_length_c 14.867
_cell_angle_alpha 90.00
_cell_angle_beta 90.00
_cell_angle_gamma 90.00
loop_
_atom_site_label
_atom_site_type_symbol
_atom_site_fract_x
_atom_site_fract_y
_atom_site_fract_z
La1 La 0.000 0.122 0.250
Tm1 Tm 0.000 0.368 0.066
Te1 Te 0.000 0.000 0.000
Te2 Te 0.000 0.273 0.619
Te3 Te 0.000 0.453 0.250
```

Summary:
mass density	7.16	g/cm³



No. 9
Compound: Mo3As5
Source: Alexandria
Functional: GGA-PBE
Structure: relaxed

Structure (CIF):
```
data_Mo3As5
_chemical_formula_sum 'Mo12 As20'
_space_group_name_H-M_alt 'C 1 m 1'
_space_group_IT_number 8
_cell_length_a 6.182
_cell_length_b 13.396
_cell_length_c 7.371
_cell_angle_alpha 90.00
_cell_angle_beta 114.71
_cell_angle_gamma 90.00
loop_
_space_group_symop_operation_xyz
'x,y,z'
'x,-y,z'
'x+1/2,y+1/2,z'
'x+1/2,-y+1/2,z'
loop_
_atom_site_label
_atom_site_type_symbol
_atom_site_fract_x
_atom_site_fract_y
_atom_site_fract_z
Mo1 Mo 0.000 0.000 0.000
Mo2 Mo 0.150 0.500 0.297
Mo3 Mo 0.324 0.176 0.648
Mo4 Mo 0.476 0.250 0.148
As1 As 0.075 0.175 0.866
As2 As 0.089 0.000 0.647
As3 As 0.091 0.500 0.648
As4 As 0.141 0.391 0.999
As5 As 0.290 0.109 0.297
As6 As 0.357 0.325 0.430
```

Summary:
E above lowest polymorph	0	meV per atom
mass density	7.93	g/cm³
formation energy from the elements	0.05	eV per atom



No. 10
Compound: KBe2Se2
Source: Alexandria
Functional: GGA-PBE
Structure: relaxed

Structure (CIF):
```
data_KBe2Se2
_chemical_formula_sum 'K2 Be4 Se4'
_space_group_name_H-M_alt 'P 4/m b m'
_space_group_IT_number 127
_space_group_name_Hall '-P 4 2ab'
_cell_length_a 7.945
_cell_length_b 7.945
_cell_length_c 3.364
_cell_angle_alpha 90.00
_cell_angle_beta 90.00
_cell_angle_gamma 90.00
loop_
_atom_site_label
_atom_site_type_symbol
_atom_site_fract_x
_atom_site_fract_y
_atom_site_fract_z
K1 K 0.000 0.000 0.000
Be1 Be 0.092 0.408 0.500
Se1 Se 0.137 0.637 0.000
```

Summary:
E above lowest polymorph	512	meV per atom
mass density	3.36	g/cm³



No. 11
Compound: Ba2AlAg3Sn4
Source: Alexandria
Functional: GGA-PBE
Structure: relaxed

Structure (CIF):
```
data_Ba2AlAg3Sn4
_chemical_formula_sum 'Ba2 Al1 Ag3 Sn4'
_space_group_name_H-M_alt 'P -4 m 2'
_space_group_IT_number 115
_cell_length_a 4.757
_cell_length_b 4.757
_cell_length_c 12.057
_cell_angle_alpha 90.00
_cell_angle_beta 90.00
_cell_angle_gamma 90.00
loop_
_space_group_symop_operation_xyz
'x,y,z'
'y,-x,-z'
'-x,-y,z'
'-y,x,-z'
'-x,y,z'
'-y,-x,-z'
'x,-y,z'
'y,x,-z'
loop_
_atom_site_label
_atom_site_type_symbol
_atom_site_fract_x
_atom_site_fract_y
_atom_site_fract_z
Ba1 Ba 0.000 0.500 0.246
Al1 Al 0.500 0.500 0.000
Ag1 Ag 0.000 0.000 0.000
Ag2 Ag 0.000 0.500 0.637
Sn1 Sn 0.000 0.000 0.500
Sn2 Sn 0.000 0.500 0.868
Sn3 Sn 0.500 0.500 0.500
```

Summary:
mass density	6.69	g/cm³
formation energy from the elements	-0.39	eV per atom



No. 12
Compound: Th2Ga4CuAu3
Source: Alexandria
Functional: GGA-PBE
Structure: relaxed

Structure (CIF):
```
data_Th2Ga4CuAu3
_chemical_formula_sum 'Th2 Ga4 Cu1 Au3'
_space_group_name_H-M_alt 'P -4 m 2'
_space_group_IT_number 115
_cell_length_a 4.305
_cell_length_b 4.305
_cell_length_c 10.875
_cell_angle_alpha 90.00
_cell_angle_beta 90.00
_cell_angle_gamma 90.00
loop_
_space_group_symop_operation_xyz
'x,y,z'
'y,-x,-z'
'-x,-y,z'
'-y,x,-z'
'-x,y,z'
'-y,-x,-z'
'x,-y,z'
'y,x,-z'
loop_
_atom_site_label
_atom_site_type_symbol
_atom_site_fract_x
_atom_site_fract_y
_atom_site_fract_z
Th1 Th 0.000 0.500 0.236
Ga1 Ga 0.000 0.000 0.500
Ga2 Ga 0.000 0.500 0.872
Ga3 Ga 0.500 0.500 0.500
Cu1 Cu 0.500 0.500 0.000
Au1 Au 0.000 0.000 0.000
Au2 Au 0.000 0.500 0.640
```

Summary:
mass density	11.51	g/cm³
formation energy from the elements	-0.55	eV per atom



No. 13
Compound: La2Pm5In5
Source: Alexandria
Functional: GGA-PBE
Structure: relaxed

Structure (CIF):
```
data_La2Pm5In5
_chemical_formula_sum 'La4 Pm10 In10'
_space_group_name_H-M_alt 'C 1 2/m 1'
_space_group_IT_number 12
_cell_length_a 15.725
_cell_length_b 4.548
_cell_length_c 11.253
_cell_angle_alpha 90.00
_cell_angle_beta 117.66
_cell_angle_gamma 90.00
loop_
_space_group_symop_operation_xyz
'x,y,z'
'-x,-y,-z'
'-x,y,-z'
'x,-y,z'
'x+1/2,y+1/2,z'
'-x+1/2,-y+1/2,-z'
'-x+1/2,y+1/2,-z'
'x+1/2,-y+1/2,z'
loop_
_atom_site_label
_atom_site_type_symbol
_atom_site_fract_x
_atom_site_fract_y
_atom_site_fract_z
La1 La 0.160 0.000 0.495
Pm1 Pm 0.000 0.000 0.000
Pm2 Pm 0.077 0.000 0.755
Pm3 Pm 0.238 0.000 0.230
In1 In 0.000 0.500 0.500
In2 In 0.090 0.500 0.251
In3 In 0.169 0.500 0.996
```

Summary:
mass density	7.35	g/cm³
formation energy from the elements	-0.36	eV per atom



No. 14
Compound: ZnCo2Au
Source: Alexandria
Functional: GGA-PBE
Structure: relaxed

Structure (CIF):
```
data_ZnCo2Au
_chemical_formula_sum 'Zn3 Co6 Au3'
_space_group_name_H-M_alt 'R 3 m'
_space_group_IT_number 160
_space_group_name_Hall 'R 3 -2"'
_cell_length_a 2.7079
_cell_length_b 2.7079
_cell_length_c 26.1573
_cell_angle_alpha 90.00
_cell_angle_beta 90.00
_cell_angle_gamma 120.00
loop_
_atom_site_label
_atom_site_type_symbol
_atom_site_fract_x
_atom_site_fract_y
_atom_site_fract_z
Zn1 Zn 0.0000 0.0000 0.0000
Co1 Co 0.0000 0.0000 0.2540
Co2 Co 0.0000 0.0000 0.5171
Au1 Au 0.0000 0.0000 0.7605
```

Summary:
mass density	11.40	g/cm³
formation energy from the elements	0.12	eV per atom



No. 15
Compound: NaGdSc
Source: Alexandria
Functional: GGA-PBE
Structure: relaxed

Structure (CIF):
```
data_NaGdSc
_chemical_formula_sum 'Na1 Gd1 Sc1'
_space_group_name_H-M_alt 'P 3 m 1'
_space_group_IT_number 156
_cell_length_a 3.4185
_cell_length_b 3.4185
_cell_length_c 9.0011
_cell_angle_alpha 90.00
_cell_angle_beta 90.00
_cell_angle_gamma 120.00
loop_
_space_group_symop_operation_xyz
'x,y,z'
'-y,x-y,z'
'-x+y,-x,z'
'-y,-x,z'
'-x+y,y,z'
'x,x-y,z'
loop_
_atom_site_label
_atom_site_type_symbol
_atom_site_fract_x
_atom_site_fract_y
_atom_site_fract_z
Na1 Na 0.0000 0.0000 0.0000
Gd1 Gd 0.3333 0.6667 0.6345
Sc1 Sc 0.6667 0.3333 0.3427
```

Summary:
mass density	4.11	g/cm³
formation energy from the elements	0.18	eV per atom



No. 16
Compound: LiAcN
Source: Alexandria
Functional: GGA-PBE
Structure: relaxed

Structure (CIF):
```
data_LiAcN
_chemical_formula_sum 'Li4 Ac4 N4'
_space_group_name_H-M_alt 'I 4/m m m'
_space_group_IT_number 139
_space_group_name_Hall '-I 4 2'
_cell_length_a 3.905
_cell_length_b 3.905
_cell_length_c 17.841
_cell_angle_alpha 90.00
_cell_angle_beta 90.00
_cell_angle_gamma 90.00
loop_
_atom_site_label
_atom_site_type_symbol
_atom_site_fract_x
_atom_site_fract_y
_atom_site_fract_z
Li1 Li 0.000 0.000 0.071
Ac1 Ac 0.000 0.000 0.325
N1 N 0.000 0.000 0.184
```

Summary:
E above lowest polymorph	79	meV per atom
mass density	6.05	g/cm³



No. 17
Compound: Na3LaSm2S6
Source: Alexandria
Functional: GGA-PBE
Structure: relaxed

Structure (CIF):
```
data_Na3LaSm2S6
_chemical_formula_sum 'Na6 La2 Sm4 S12'
_space_group_name_H-M_alt 'C 1 2/m 1'
_space_group_IT_number 12
_cell_length_a 7.153
_cell_length_b 12.391
_cell_length_c 7.086
_cell_angle_alpha 90.00
_cell_angle_beta 109.65
_cell_angle_gamma 90.00
loop_
_space_group_symop_operation_xyz
'x,y,z'
'-x,-y,-z'
'-x,y,-z'
'x,-y,z'
'x+1/2,y+1/2,z'
'-x+1/2,-y+1/2,-z'
'-x+1/2,y+1/2,-z'
'x+1/2,-y+1/2,z'
loop_
_atom_site_label
_atom_site_type_symbol
_atom_site_fract_x
_atom_site_fract_y
_atom_site_fract_z
Na1 Na 0.000 0.000 0.000
Na2 Na 0.000 0.333 0.000
La1 La 0.000 0.500 0.500
Sm1 Sm 0.000 0.167 0.500
S1 S 0.238 0.000 0.733
S2 S 0.247 0.330 0.732
```

Summary:
mass density	3.94	g/cm³



No. 18
Compound: Be2AuSe
Source: Alexandria
Functional: GGA-PBE
Structure: relaxed

Structure (CIF):
```
data_Be2AuSe
_chemical_formula_sum 'Be4 Au2 Se2'
_space_group_name_H-M_alt 'I 4/m m m'
_space_group_IT_number 139
_space_group_name_Hall '-I 4 2'
_cell_length_a 4.014
_cell_length_b 4.014
_cell_length_c 7.077
_cell_angle_alpha 90.00
_cell_angle_beta 90.00
_cell_angle_gamma 90.00
loop_
_atom_site_label
_atom_site_type_symbol
_atom_site_fract_x
_atom_site_fract_y
_atom_site_fract_z
Be1 Be 0.000 0.500 0.250
Au1 Au 0.000 0.000 0.000
Se1 Se 0.000 0.000 0.500
```

Summary:
mass density	8.56	g/cm³



No. 19
Compound: MnNiMo2
Source: Alexandria
Functional: GGA-PBE
Structure: relaxed

Structure (CIF):
```
data_MnNiMo2
_chemical_formula_sum 'Mn2 Ni2 Mo4'
_space_group_name_H-M_alt 'C m m m'
_space_group_IT_number 65
_space_group_name_Hall '-C 2 2'
_cell_length_a 5.322
_cell_length_b 7.512
_cell_length_c 2.698
_cell_angle_alpha 90.00
_cell_angle_beta 90.00
_cell_angle_gamma 90.00
loop_
_atom_site_label
_atom_site_type_symbol
_atom_site_fract_x
_atom_site_fract_y
_atom_site_fract_z
Mn1 Mn 0.000 0.000 0.000
Ni1 Ni 0.000 0.500 0.000
Mo1 Mo 0.250 0.250 0.500
```

Summary:
E above lowest polymorph	29	meV per atom
mass density	9.41	g/cm³
formation energy from the elements	0.09	eV per atom



No. 20
Compound: AcLa2Bi
Source: Alexandria
Functional: GGA-PBE
Structure: relaxed

Structure (CIF):
```
data_AcLa2Bi
_chemical_formula_sum 'Ac4 La8 Bi4'
_space_group_name_H-M_alt 'F m -3 m'
_space_group_IT_number 225
_space_group_name_Hall '-F 4 2 3'
_cell_length_a 8.255
_cell_length_b 8.255
_cell_length_c 8.255
_cell_angle_alpha 90.00
_cell_angle_beta 90.00
_cell_angle_gamma 90.00
loop_
_atom_site_label
_atom_site_type_symbol
_atom_site_fract_x
_atom_site_fract_y
_atom_site_fract_z
Ac1 Ac 0.000 0.000 0.000
La1 La 0.250 0.250 0.250
Bi1 Bi 0.000 0.000 0.500
```

Summary:
E above lowest polymorph	197	meV per atom
mass density	8.43	g/cm³
formation energy from the elements	-0.27	eV per atom



| no. | DOS at the Fermi energy (states/eV/cell) | total energy (eV/atom) |
| --- | --- | --- |
| 1 | 16.339 | -9.546 |
| 2 | 12.809 | -6.600 |
| 3 | 3.222 | -2.175 |
| 4 | 12.688 | -3.263 |
| 5 | 8.332 | -5.449 |
| 6 | 2.961 | -4.292 |
| 7 | 1.333 | -3.832 |
| 8 | 10.348 | -5.192 |
| 9 | 20.258 | -6.914 |
| 10 | 3.686 | -3.040 |
| 11 | 4.159 | -3.608 |
| 12 | 3.747 | -4.638 |
| 13 | 25.802 | -4.305 |
| 14 | 8.436 | -4.573 |
| 15 | 4.293 | -7.060 |
| 16 | 4.681 | -5.444 |
| 17 | 0.000 | -5.419 |
| 18 | 2.388 | -3.139 |
| 19 | 7.547 | -9.061 |
| 20 | 15.243 | -4.726 |